Crystalline LiMnCl2 at its relaxed geometry, computed with PBE.

M_tot	1.3885	μB/atom
final energy	-3.80	eV/atom
crystal system	cubic
ΔE_f (raw)	-0.1080	eV/atom
space group	F-43m

```
LiMnCl2
1.0
4.9427 0.0000 0.0000
2.4713 4.2805 0.0000
2.4713 1.4268 4.0357
Cl Li Mn
2 1 1
Direct
0.0000 0.0000 0.0000
0.2500 0.2500 0.2500
0.5000 0.5000 0.5000
0.7500 0.7500 0.7500
```